## CaAcH6Ru (GGA-PBE)

Data for an optimized crystal structure of CaAcH6Ru.

Cell and atoms, written as POSCAR:
```
CaAcH6Ru
1.0
-2.5665 0.1003 -4.5014
-1.6603 -4.4207 -2.1353
-4.2359 0.4199 2.4245
Ca Ac H Ru
1 1 6 1
direct
0.6667 0.6667 0.5001
0.0000 0.0000 0.0002
0.0730 0.3724 0.2619
0.3719 0.0731 0.7379
0.5549 0.3720 0.7379
0.0731 0.5549 0.7379
0.3723 0.5547 0.2620
0.5547 0.0730 0.2620
0.3333 0.3333 0.4999
```

Calculated values
- mass density (kg/m3) = 5453
- D(E_F) (states/eV/f.u.) = 0.93
- total energy (eV per cell) = -38.9